Density functional theory data (GGA-PBE) for a geometry-optimized Ta3Tc structure.

Unit cell a=5.1815 b=5.1815 c=5.1815 alpha=90.00 beta=90.00 gamma=90.00
Space group Pm-3n (No. 223)
Asymmetric unit:
Ta 0.0000 0.2500 0.5000 x6
Tc 0.0000 0.0000 0.0000 x2

ΔH_f (0 K), kJ/mol of atoms: -17.0
Fermi-level density of states, states/eV/atom: 0.93
Relative energy among the computed polymorphs, eV per formula unit: 0.41

***

Density functional theory data (GGA-PBE) for a geometry-optimized ScTcCl2 structure.

Unit cell a=3.1412 b=3.1412 c=25.2796 alpha=90.00 beta=90.00 gamma=120.00
Space group R-3m (No. 166, hexagonal axes)
Asymmetric unit:
Sc 0.0000 0.0000 0.0000 x3
Tc 0.0000 0.0000 0.5000 x3
Cl 0.0000 0.0000 0.4051 x6

Fermi-level density of states, states/eV/atom: 0.87
Relative energy among the computed polymorphs, eV per formula unit: 1.16
Uncorrected formation energy, eV per atom: -0.416

***

Density functional theory data (GGA-PBE) for a geometry-optimized ZnH2O2 structure.

Unit cell a=2.6744 b=2.6744 c=19.6078 alpha=90.00 beta=90.00 gamma=120.00
Space group R-3m (No. 166, hexagonal axes)
Asymmetric unit:
Zn 0.0000 0.0000 0.0000 x3
H 0.0000 0.0000 0.2449 x6
O 0.0000 0.0000 0.4083 x6

Energy, eV per atom: -3.88

***

Density functional theory data (GGA-PBE) for a geometry-optimized CaLaPmSc structure.

Unit cell a=8.1270 b=8.1270 c=8.1270 alpha=90.00 beta=90.00 gamma=90.00
Space group F-43m (No. 216)
Asymmetric unit:
Ca 0.0000 0.0000 0.0000 x4
La 0.2500 0.2500 0.2500 x4
Pm 0.2500 0.2500 0.7500 x4
Sc 0.0000 0.0000 0.5000 x4

ΔH_f (0 K), kJ/mol of atoms: 12.4
Fermi-level density of states, states/eV/atom: 1.36

***

Density functional theory data (GGA-PBE) for a geometry-optimized CsBi2 structure.

Unit cell a=9.8161 b=9.8161 c=9.8161 alpha=90.00 beta=90.00 gamma=90.00
Space group Fd-3m (No. 227, origin choice 2)
Asymmetric unit:
Cs 0.1250 0.1250 0.1250 x8
Bi 0.0000 0.0000 0.5000 x16

ΔH_f (0 K), kJ/mol of atoms: -32.1
Fermi-level density of states, states/eV/atom: 0.34

***

Density functional theory data (GGA-PBE) for a geometry-optimized ErCuAs2O8 structure.

Unit cell a=6.9532 b=6.9532 c=6.3174 alpha=90.00 beta=90.00 gamma=90.00
Space group I-4m2 (No. 119)
Asymmetric unit:
Er 0.0000 0.0000 0.0000 x2
Cu 0.0000 0.5000 0.2500 x2
As 0.0000 0.0000 0.5000 x2
As 0.0000 0.5000 0.7500 x2
O 0.0000 0.1857 0.3169 x8
O 0.0000 0.3166 0.9303 x8

Fermi-level density of states, states/eV/atom: 0.64
Uncorrected formation energy, eV per atom: -1.413

***

Density functional theory data (GGA-PBE) for a geometry-optimized SmYNi2 structure.

Unit cell a=4.8716 b=4.8716 c=3.3678 alpha=90.00 beta=90.00 gamma=90.00
Space group P4/mmm (No. 123)
Asymmetric unit:
Sm 0.0000 0.0000 0.0000 x1
Y 0.5000 0.5000 0.0000 x1
Ni 0.0000 0.5000 0.5000 x2

ΔH_f (0 K), kJ/mol of atoms: -31.1
Fermi-level density of states, states/eV/atom: 0.73
Relative energy among the computed polymorphs, eV per formula unit: 0.31

***

Density functional theory data (GGA-PBE) for a geometry-optimized Ce2NdFe structure.

Unit cell a=3.7280 b=3.7280 c=26.8477 alpha=90.00 beta=90.00 gamma=120.00
Space group R-3m (No. 166, hexagonal axes)
Asymmetric unit:
Ce 0.0000 0.0000 0.2229 x6
Nd 0.0000 0.0000 0.0000 x3
Fe 0.0000 0.0000 0.5000 x3

ΔH_f (0 K), kJ/mol of atoms: 8.6
Fermi-level density of states, states/eV/atom: 1.96
Relative energy among the computed polymorphs, eV per formula unit: 0.00

***

| no. | theoretical density (g cm⁻³) |
| --- | --- |
| 1 | 15.30 |
| 2 | 4.93 |
| 3 | 4.08 |
| 4 | 4.57 |
| 5 | 7.74 |
| 6 | 5.53 |
| 7 | 7.41 |
| 8 | 7.40 |